# ZrBeI2O (PBE, optimized geometry)
data_ZrBeI2O
_cell_length_a 5.614
_cell_length_b 5.614
_cell_length_c 3.237
_cell_angle_alpha 90.00
_cell_angle_beta 90.00
_cell_angle_gamma 90.00
_space_group_name_H-M_alt 'P 4/m m m'
_space_group_IT_number 123
_space_group_name_Hall '-P 4 2'
loop_
_atom_site_label
_atom_site_fract_x
_atom_site_fract_y
_atom_site_fract_z
Zr1 0.000 0.000 0.000
Be1 0.500 0.500 0.500
I1 0.000 0.500 0.500
O1 0.500 0.500 0.000
# E above lowest polymorph = 31 meV/atom
# uncorrected formation energy = -2.6 eV per formula unit